1.
VASP calculation (GGA-PBE) on a geometry-optimized Ga2AgPd3 structure.

Cell: 3.054 3.054 9.963 Å, 90.00 90.00 90.00°
Sites, in units of the cell vectors:
Ga: 0.000 0.000 0.162
Ga: 0.000 0.000 0.838
Ag: 0.000 0.000 0.500
Pd: 0.500 0.500 0.000
Pd: 0.500 0.500 0.305
Pd: 0.500 0.500 0.695

Results
Energy of formation = -0.475 eV per atom
Calculated total energy = -27.3 eV per cell
V = 15.48 Å³ per atom

2.
VASP calculation (GGA-PBE) on a geometry-optimized TbZrNi structure.

Cell: 10.417 9.585 5.650 Å, 81.89 65.63 32.48°
Sites, in units of the cell vectors:
Tb: 0.039 0.039 0.211
Tb: 0.211 0.211 0.039
Tb: 0.789 0.789 0.961
Tb: 0.961 0.961 0.789
Zr: 0.212 0.538 0.212
Zr: 0.462 0.788 0.462
Zr: 0.538 0.212 0.538
Zr: 0.788 0.462 0.788
Ni: 0.250 0.250 0.500
Ni: 0.500 0.500 0.250
Ni: 0.500 0.500 0.750
Ni: 0.750 0.750 0.500

Results
Energy of formation = -0.202 eV per atom
Calculated total energy = -78.3 eV per cell
V = 20.84 Å³ per atom

3.
VASP calculation (GGA-PBE) on a geometry-optimized TaNb2Hg structure.

Cell: 10.564 10.564 10.564 Å, 158.22 158.22 31.00°
Sites, in units of the cell vectors:
Ta: 0.000 0.000 0.000
Ta: 0.750 0.250 0.500
Nb: 0.113 0.625 0.988
Nb: 0.375 0.363 0.488
Nb: 0.637 0.125 0.012
Nb: 0.875 0.887 0.512
Hg: 0.250 0.750 0.500
Hg: 0.500 0.500 0.000

Results
Energy of formation = 0.716 eV per atom
Calculated total energy = -58.9 eV per cell
V = 20.28 Å³ per atom

4.
VASP calculation (GGA-PBE) on a geometry-optimized Ac4BSI2 structure.

Cell: 7.518 4.331 8.643 Å, 90.00 106.92 90.00°
Sites, in units of the cell vectors:
Ac: 0.214 0.000 0.186
Ac: 0.253 0.500 0.810
Ac: 0.747 0.500 0.190
Ac: 0.786 0.000 0.814
B: 0.000 0.500 0.000
S: 0.500 0.000 0.000
I: 0.000 0.000 0.500
I: 0.500 0.500 0.500

Results
Formation energy without anion corrections = -1.024 eV/atom
Calculated total energy = -38.5 eV per cell
V = 33.66 Å³ per atom

5.
VASP calculation (GGA-PBE) on a geometry-optimized TbNd2Dy3Bi6 structure.

Cell: 10.112 10.112 9.046 Å, 102.86 102.86 25.86°
Sites, in units of the cell vectors:
Tb: 0.000 0.000 0.000
Nd: 0.334 0.334 0.667
Nd: 0.666 0.666 0.333
Dy: 0.000 0.000 0.500
Dy: 0.332 0.332 0.166
Dy: 0.668 0.668 0.834
Bi: 0.165 0.165 0.588
Bi: 0.166 0.166 0.077
Bi: 0.497 0.497 0.249
Bi: 0.503 0.503 0.751
Bi: 0.834 0.834 0.923
Bi: 0.835 0.835 0.412

Results
Energy of formation = -0.890 eV per atom
Calculated total energy = -61.9 eV per cell
V = 32.73 Å³ per atom

calculated total energy of number 1 (Ga2AgPd3)?
-27.3 eV per cell

What is the calculated total energy in the fourth record?
-38.5 eV per cell